Run one
Density functional theory data (PBE-GGA) for a relaxed structure of NaLa3Ir.

Computed properties:
Crystal system = trigonal
Density of states at the Fermi level = 9.460 states/eV/cell

```
NaLa3Ir
1.0
4.0583 2.3431 6.5432
-4.0583 2.3431 6.5432
0.0000 -4.6861 6.5432
Na La Ir
2 6 2
Cartesian
0.0000 0.0000 4.9074
0.0000 0.0000 14.7222
-2.1604 0.9442 8.1790
-1.8979 -1.3989 11.4506
0.2626 -2.3431 8.1790
-0.2626 2.3431 11.4506
1.8979 1.3989 8.1790
2.1604 -0.9442 11.4506
0.0000 0.0000 0.0000
0.0000 0.0000 9.8148
```

Run two
Density functional theory data (PBE-GGA) for a relaxed structure of NaLa3Ir.

Computed properties:
Crystal system = triclinic
Density of states at the Fermi level = 12.747 states/eV/cell

```
NaLa3Ir
1.0
3.9510 0.0000 0.0000
-1.5004 9.2355 0.0000
-0.1156 -3.2040 9.4674
Na La Ir
2 6 2
Cartesian
0.2093 -0.1725 1.6466
2.1257 6.2040 7.8208
0.1960 0.2431 6.1753
0.1720 3.8536 5.8789
0.1511 2.9557 9.2935
2.1839 3.0758 0.1739
2.1630 2.1779 3.5885
2.1391 5.7884 3.2921
0.1913 4.1076 2.1328
2.1437 1.9240 7.3346
```

It comes down to run two, which is 1.7 kJ/mol of atoms more stable than the next structure.

Run one
Density functional theory data (PBE-GGA) for a relaxed structure of MoPb.

Computed properties:
Crystal system = tetragonal
Density of states at the Fermi level = 2.496 states/eV/cell

```
MoPb
1.0
3.2786 0.0000 0.0000
0.0000 3.2786 0.0000
0.0000 0.0000 8.6128
Mo Pb
2 2
Cartesian
0.8197 0.8197 0.6240
2.4590 2.4590 7.9889
0.8197 0.8197 5.9220
2.4590 2.4590 2.6908
```

Run two
Density functional theory data (PBE-GGA) for a relaxed structure of MoPb.

Computed properties:
Crystal system = orthorhombic
Density of states at the Fermi level = 2.659 states/eV/cell

```
MoPb
1.0
1.7258 -2.6133 0.0000
1.7258 2.6133 0.0000
0.0000 0.0000 4.5595
Mo Pb
1 1
Cartesian
0.0000 0.0000 0.0000
1.7258 0.0000 2.2797
```

It comes down to run one, which is 58.5 kJ/mol of atoms more stable than the next structure.